Record 1
Density functional theory data (GGA-PBE) for a geometry-optimized Li6Ag6Ge structure.

Unit cell a=5.532 b=5.532 c=9.104 alpha=90.00 beta=90.00 gamma=120.00
Fractional positions:
Li 0.000 0.000 0.190
Li 0.000 0.000 0.810
Li 0.333 0.667 0.000
Li 0.333 0.667 0.500
Li 0.667 0.333 0.000
Li 0.667 0.333 0.500
Ag 0.000 0.500 0.254
Ag 0.000 0.500 0.746
Ag 0.500 0.000 0.254
Ag 0.500 0.000 0.746
Ag 0.500 0.500 0.254
Ag 0.500 0.500 0.746
Ge 0.000 0.000 0.500

ΔE_f in meV/atom: -103
SG: P6/mmm, No. 191
Total energy in eV per atom: -2.658
Fermi-level density of states in states/eV/cell: 3.7

***

Record 2
Density functional theory data (GGA-PBE) for a geometry-optimized Li4AgGe2 structure.

Unit cell a=3.961 b=15.199 c=4.921 alpha=90.00 beta=90.00 gamma=90.00
Fractional positions:
Li 0.000 0.096 0.000
Li 0.000 0.366 0.500
Li 0.000 0.634 0.500
Li 0.000 0.904 0.000
Li 0.500 0.134 0.500
Li 0.500 0.404 0.000
Li 0.500 0.596 0.000
Li 0.500 0.866 0.500
Ag 0.000 0.000 0.500
Ag 0.500 0.500 0.500
Ge 0.000 0.297 0.000
Ge 0.000 0.703 0.000
Ge 0.500 0.203 0.000
Ge 0.500 0.797 0.000

ΔE_f in meV/atom: -49
SG: Cmmm, No. 65
Total energy in eV per atom: -2.869
Fermi-level density of states in states/eV/cell: 4.4